Sm7DyEr2 GGA-PBE relaxed; space-group type = Cmmm (65); E_form = 0.6644 eV/atom; final energy = -40.12 eV per formula unit
1.0
4.388 -8.269 0.000
4.388 8.269 0.000
0.000 0.000 5.574
Sm Dy Er
7 1 2
Cartesian
0.000 0.000 0.000 Sm
2.824 1.861 0.000 Sm
4.388 3.516 2.787 Sm
2.824 -1.861 0.000 Sm
5.952 1.861 0.000 Sm
4.388 -3.516 2.787 Sm
5.952 -1.861 0.000 Sm
4.388 0.000 2.787 Dy
4.388 4.881 0.000 Er
4.388 -4.881 0.000 Er